The following is a DFT calculation (PBE) of crystalline La2MgHg3Pt2 at its relaxed geometry.

The structure in POSCAR format:
```
La2MgHg3Pt2
1.0
-4.980 -0.513 2.339
-1.826 -1.874 4.867
0.770 7.941 3.314
Hg La Mg Pt
3 2 1 2
direct
0.354 0.354 0.050
0.374 0.374 0.458
0.638 0.638 0.947
0.064 0.064 0.245
0.930 0.930 0.759
0.658 0.658 0.547
0.767 0.767 0.258
0.216 0.216 0.736
```

Computed properties:
- Crystal system: monoclinic
- Total magnetic moment: 0.0 μB per formula unit
- VASP energy: -3.7612 eV per atom
- Theoretical density: 11.44 g cm⁻³